Entry 1:
TmMgAlRh after structural relaxation, computed with PBE.

Its symmetry is F-43m (216). For the total energy, the calculation gives -4.7800 eV/atom. As for the crystal system: cubic. The energy of formation is -47.27 kJ per mole of atoms. The value obtained for the density of states at the Fermi level is 3.45 states/eV per cell.

a b c (Å): 4.691 4.691 4.691
angles (deg): 60.00 60.00 60.00
Atoms (fractional coordinates):
Tm 0.250 0.250 0.250
Rh 0.500 0.500 0.500
Mg 0.000 0.000 0.000
Al 0.750 0.750 0.750

Entry 2:
Mg2Al2ZnRh5 after structural relaxation, computed with PBE.

Its symmetry is P4/mbm (127). For the total energy, the calculation gives -5.4335 eV/atom. As for the crystal system: tetragonal. The energy of formation is -54.31 kJ per mole of atoms. The value obtained for the density of states at the Fermi level is 9.28 states/eV per cell.

a b c (Å): 3.162 9.859 9.859
angles (deg): 90.00 90.00 90.00
Atoms (fractional coordinates):
Mg 0.000 0.830 0.670
Mg 0.000 0.330 0.830
Mg 0.000 0.670 0.170
Mg 0.000 0.170 0.330
Rh 0.500 0.071 0.805
Rh 0.500 0.429 0.305
Rh 0.500 0.500 0.000
Rh 0.500 0.000 0.500
Rh 0.500 0.195 0.071
Rh 0.500 0.929 0.195
Rh 0.500 0.805 0.929
Rh 0.500 0.695 0.429
Rh 0.500 0.305 0.571
Rh 0.500 0.571 0.695
Zn 0.000 0.000 0.000
Zn 0.000 0.500 0.500
Al 0.000 0.132 0.632
Al 0.000 0.868 0.368
Al 0.000 0.368 0.132
Al 0.000 0.632 0.868

Entry 3:
Mg2AlZn2Rh5 after structural relaxation, computed with PBE.

Its symmetry is P4/mbm (127). For the total energy, the calculation gives -5.0115 eV/atom. As for the crystal system: tetragonal. The energy of formation is -37.41 kJ per mole of atoms. The value obtained for the density of states at the Fermi level is 17.32 states/eV per cell.

a b c (Å): 3.199 9.843 9.843
angles (deg): 90.00 90.00 90.00
Atoms (fractional coordinates):
Rh 0.500 0.805 0.955
Rh 0.500 0.195 0.045
Rh 0.500 0.500 0.000
Rh 0.500 0.000 0.500
Rh 0.500 0.955 0.195
Rh 0.500 0.045 0.805
Rh 0.500 0.545 0.695
Rh 0.500 0.695 0.455
Rh 0.500 0.455 0.305
Rh 0.500 0.305 0.545
Al 0.000 0.500 0.500
Al 0.000 0.000 0.000
Zn 0.000 0.637 0.863
Zn 0.000 0.363 0.137
Zn 0.000 0.137 0.637
Zn 0.000 0.863 0.363
Mg 0.000 0.668 0.168
Mg 0.000 0.168 0.332
Mg 0.000 0.332 0.832
Mg 0.000 0.832 0.668